## i
The following is a PBE calculation of CdIn2Au4 after structural relaxation, from the Alexandria database.

Output
Symmetry   No. 11
Magnetic moment   0.0 μB per formula unit
D(E_F)   2.483 states/eV/f.u.

Cell: 4.1127 5.6398 13.3639 Å, 90.00 90.02 90.00°
Closest atoms and distances in Å follow each position.
Element x y z (fractional)
Cd 0.2497 0.2500 0.0356  6 Au 2.84-2.91
Cd 0.7503 0.7500 0.9644  6 Au 2.84-2.91
In 0.2479 0.2500 0.2929  8 Au 2.86-3.15
In 0.2485 0.2500 0.5938  6 Au 2.85-2.88
In 0.7515 0.7500 0.4062  6 Au 2.85-2.88
In 0.7521 0.7500 0.7071  8 Au 2.86-3.15
Au 0.2503 0.7500 0.2587  4 In 2.85-2.86, 4 Au 2.90
Au 0.2506 0.5026 0.8514  4 Au 2.79-2.90, 3 Cd 2.84-2.91
Au 0.2506 0.9974 0.8514  4 Au 2.79-2.90, 3 Cd 2.84-2.91
Au 0.2521 0.7500 0.5574  6 In 2.86-2.88
Au 0.7479 0.2500 0.4426  6 In 2.86-2.88
Au 0.7494 0.0026 0.1486  4 Au 2.79-2.90, 3 Cd 2.84-2.91
Au 0.7494 0.4974 0.1486  4 Au 2.79-2.90, 3 Cd 2.84-2.91
Au 0.7497 0.2500 0.7413  4 In 2.85-2.86, 4 Au 2.90

***

## ii
The following is a PBE calculation of CdIn2Au4 after structural relaxation, from the Alexandria database.

Output
Symmetry   No. 139
Magnetic moment   0.0 μB per formula unit
D(E_F)   2.872 states/eV/f.u.

Cell: 5.2466 5.2466 13.8771 Å, 90.00 90.00 90.00°
Closest atoms and distances in Å follow each position.
Element x y z (fractional)
Cd 0.0000 0.0000 0.0000  6 Au 2.62-2.71
Cd 0.5000 0.5000 0.5000  6 Au 2.62-2.71
In 0.0000 0.0000 0.3860  1 Au 2.64
In 0.0000 0.0000 0.6140  1 Au 2.64
In 0.5000 0.5000 0.1140  1 Au 2.64
In 0.5000 0.5000 0.8860  1 Au 2.64
Au 0.0000 0.0000 0.1954  1 In 2.64, 1 Cd 2.71
Au 0.0000 0.0000 0.8046  1 In 2.64, 1 Cd 2.71
Au 0.0000 0.5000 0.0000  2 Cd 2.62
Au 0.0000 0.5000 0.5000  2 Cd 2.62
Au 0.5000 0.0000 0.0000  2 Cd 2.62
Au 0.5000 0.0000 0.5000  2 Cd 2.62
Au 0.5000 0.5000 0.3046  1 In 2.64, 1 Cd 2.71
Au 0.5000 0.5000 0.6954  1 In 2.64, 1 Cd 2.71

***

Of them, ii has the lowest stability.

***

## i
The following is a PBE calculation of CdInAu4 after structural relaxation, from the Alexandria database.

Output
Symmetry   No. 216
Magnetic moment   0.0 μB per formula unit
D(E_F)   1.869 states/eV/f.u.

Cell: 5.5993 5.5993 5.5993 Å, 60.00 60.00 60.00°
Closest atoms and distances in Å follow each position.
Element x y z (fractional)
Cd 0.0000 0.0000 0.0000  12 Au 3.28, 4 In 3.43
In 0.7500 0.7500 0.7500  12 Au 3.28, 4 Cd 3.43
Au 0.3749 0.3749 0.3749  6 Au 2.80
Au 0.3749 0.3749 0.8754  6 Au 2.80
Au 0.3749 0.8754 0.3749  6 Au 2.80
Au 0.8754 0.3749 0.3749  6 Au 2.80

***

## ii
The following is a PBE calculation of CdInAu4 after structural relaxation, from the Alexandria database.

Output
Symmetry   No. 65
Magnetic moment   0.0 μB per formula unit
D(E_F)   1.513 states/eV/f.u.

Cell: 5.3260 8.8791 4.9595 Å, 90.00 90.00 90.00°
Closest atoms and distances in Å follow each position.
Element x y z (fractional)
Cd 0.0000 0.0000 0.0000  10 Au 2.88-3.05
Cd 0.5000 0.5000 0.0000  10 Au 2.88-3.05
In 0.0000 0.5000 0.5000  10 Au 2.89-3.04
In 0.5000 0.0000 0.5000  10 Au 2.89-3.04
Au 0.0000 0.1660 0.5000  2 Cd 2.88, 5 Au 2.89-3.05, 3 In 2.97-3.04
Au 0.0000 0.3336 0.0000  2 In 2.89, 5 Au 2.89-3.05, 3 Cd 2.96-3.05
Au 0.0000 0.6664 0.0000  2 In 2.89, 5 Au 2.89-3.05, 3 Cd 2.96-3.05
Au 0.0000 0.8340 0.5000  2 Cd 2.88, 5 Au 2.89-3.05, 3 In 2.97-3.04
Au 0.5000 0.1664 0.0000  2 In 2.89, 5 Au 2.89-3.05, 3 Cd 2.96-3.05
Au 0.5000 0.3340 0.5000  2 Cd 2.88, 5 Au 2.89-3.05, 3 In 2.97-3.04
Au 0.5000 0.6660 0.5000  2 Cd 2.88, 5 Au 2.89-3.05, 3 In 2.97-3.04
Au 0.5000 0.8336 0.0000  2 In 2.89, 5 Au 2.89-3.05, 3 Cd 2.96-3.05

***

Of them, i has the lowest stability.